Entry 1:
Computed, not measured: an optimized crystal structure of Cu7Ag3 at the GGA-PBE level of DFT.

Cell and atoms, written as extended XYZ:
```
10
Lattice="-3.346 0.632 -1.801 -4.307 0.923 8.329 -3.228 4.547 7.595" Properties=species:S:1:pos:R:3 pbc="T T T"
Ag -4.701 2.514 5.499
Ag -6.794 4.932 14.358
Cu -2.225 1.615 4.701
Cu -0.732 0.531 1.547
Ag -5.248 3.809 11.090
Cu -1.740 0.365 -0.758
Cu -6.173 3.583 8.609
Cu -3.835 2.784 8.104
Cu -7.665 4.666 11.762
Cu -3.160 1.395 2.241
```

Output
Its symmetry is No. 38. The value obtained for the energy above the most stable polymorph in this dataset is 0.0383 eV per atom. The value obtained for the formation energy is 0.08 eV per atom.



Entry 2:
Computed, not measured: an optimized crystal structure of PaSiPt at the GGA-PBE level of DFT.

Cell and atoms, written as extended XYZ:
```
3
Lattice="0.000 3.222 3.222 3.222 0.000 3.222 3.222 3.222 0.000" Properties=species:S:1:pos:R:3 pbc="T T T"
Si 4.832 4.832 4.832
Pa 1.611 1.611 1.611
Pt 0.000 0.000 0.000
```

Output
Its symmetry is No. 216. The calculated total energy comes out at -7.68 eV/atom.



Entry 3:
Computed, not measured: an optimized crystal structure of Cs2ScHgI6 at the GGA-PBE level of DFT.

Cell and atoms, written as extended XYZ:
```
10
Lattice="4.337 2.504 6.973 -4.337 2.504 6.973 0.000 -5.008 6.973" Properties=species:S:1:pos:R:3 pbc="T T T"
Sc 0.000 0.000 20.909
I 0.355 -2.649 8.627
Cs 0.000 0.000 5.188
I 2.117 1.632 8.627
I -2.113 -1.626 12.287
I -2.472 1.017 8.627
I -0.352 2.643 12.287
I 2.465 -1.017 12.287
Cs 0.000 0.000 15.729
Hg 0.000 0.000 10.444
```

Output
Its symmetry is No. 146. The calculated total energy comes out at -2.87 eV/atom.



Entry 4:
Computed, not measured: an optimized crystal structure of Zn4W3 at the GGA-PBE level of DFT.

Cell and atoms, written as extended XYZ:
```
14
Lattice="1.105 -2.273 6.893 6.409 1.335 3.323 -1.604 3.878 1.536" Properties=species:S:1:pos:R:3 pbc="T T T"
W 5.515 -0.989 8.259
Zn 1.748 0.096 8.086
Zn 6.239 1.389 9.512
Zn 2.660 2.422 3.165
Zn 2.202 1.236 5.682
W 4.002 0.121 3.874
Zn 1.574 -1.112 4.451
W 0.243 1.213 3.693
Zn 5.966 0.170 5.802
W 4.625 2.471 5.093
W 4.217 1.309 7.602
W 1.975 0.044 1.952
Zn 3.493 -1.069 6.348
Zn 1.120 -2.251 6.855
```

Output
Its symmetry is No. 176. The value obtained for the energy above the most stable polymorph in this dataset is 0.0191 eV per atom. The value obtained for the formation energy is 0.25 eV per atom.



Entry 5:
Computed, not measured: an optimized crystal structure of LuAlMo at the GGA-PBE level of DFT.

Cell and atoms, written as extended XYZ:
```
3
Lattice="2.924 -2.740 2.079 -1.517 -3.379 2.581 0.459 -4.274 -1.378" Properties=species:S:1:pos:R:3 pbc="T T T"
Lu 0.467 -2.598 0.820
Mo 1.400 -7.795 2.461
Al 0.000 0.000 0.000
```

Output
Its symmetry is No. 216. The value obtained for the energy above the most stable polymorph in this dataset is 0.0000 eV per atom.



Entry 6:
Computed, not measured: an optimized crystal structure of BaTmAgSe3 at the GGA-PBE level of DFT.

Cell and atoms, written as extended XYZ:
```
12
Lattice="8.374 0.000 0.000 0.000 4.209 0.000 -2.956 0.000 9.393" Properties=species:S:1:pos:R:3 pbc="T T T"
Ag 4.656 1.052 0.875
Ba 3.826 1.052 7.222
Se 6.031 3.156 6.038
Se 3.880 1.052 3.413
Tm 5.816 3.156 3.221
Ag 0.763 3.156 8.518
Se 1.538 3.156 5.980
Se -0.896 1.052 8.987
Se -0.613 1.052 3.354
Se 6.314 3.156 0.406
Ba 1.592 3.156 2.171
Tm -0.398 1.052 6.172
```

Output
Its symmetry is No. 11. The calculated total energy comes out at -4.81 eV/atom.



Entry 7:
Computed, not measured: an optimized crystal structure of AlFe3 at the GGA-PBE level of DFT.

Cell and atoms, written as extended XYZ:
```
4
Lattice="-0.455 2.524 2.583 -3.578 -0.669 0.024 0.491 -2.536 2.565" Properties=species:S:1:pos:R:3 pbc="T T T"
Fe -2.017 0.928 1.303
Al 0.000 0.000 0.000
Fe -1.543 -1.603 1.294
Fe 0.018 -0.006 2.574
```

Output
Its symmetry is No. 221. The calculated total energy comes out at -7.37 eV/atom.



Entry 8:
Computed, not measured: an optimized crystal structure of BaNaSmS3 at the GGA-PBE level of DFT.

Cell and atoms, written as extended XYZ:
```
12
Lattice="5.309 3.504 -3.489 -5.437 -4.763 -0.620 -6.696 7.933 -2.222" Properties=species:S:1:pos:R:3 pbc="T T T"
S 0.870 5.981 -4.110
S -7.693 0.692 -2.222
S 3.553 2.802 -3.219
Na -10.182 1.399 -2.361
Sm -3.412 3.337 -3.166
Na 3.359 5.274 -3.971
Ba -4.485 -0.760 -1.877
S -0.899 1.999 -2.834
Sm -0.064 -0.630 -2.054
S -10.377 3.872 -3.112
Ba -2.339 7.433 -4.455
S -5.924 4.675 -3.497
```

Output
Its symmetry is No. 63. The calculated total energy comes out at -5.15 eV/atom.



Entry 9:
Computed, not measured: an optimized crystal structure of PrZrAsO at the GGA-PBE level of DFT.

Cell and atoms, written as extended XYZ:
```
8
Lattice="-1.965 -2.527 -2.734 3.716 -1.523 -1.262 -0.476 -6.170 6.046" Properties=species:S:1:pos:R:3 pbc="T T T"
As 0.080 -5.650 3.545
Zr 0.393 -1.596 -0.427
Zr 0.882 -8.625 2.477
Pr 2.058 -4.860 1.393
Pr -0.783 -5.362 0.657
As 1.195 -4.571 -1.496
O -0.545 -2.276 -2.366
O 2.296 -1.774 -1.630
```

Output
Its symmetry is No. 129. The value obtained for the energy above the most stable polymorph in this dataset is 0.5814 eV per atom.



Entry 10:
Computed, not measured: an optimized crystal structure of GdHgAsO at the GGA-PBE level of DFT.

Cell and atoms, written as extended XYZ:
```
8
Lattice="4.450 0.000 0.000 0.000 6.622 0.000 0.000 0.000 6.161" Properties=species:S:1:pos:R:3 pbc="T T T"
Hg 2.225 2.382 0.056
Gd 0.000 5.075 5.646
As 0.000 1.376 5.563
Hg 2.225 4.240 3.137
As 0.000 5.247 2.482
O 2.225 1.889 2.621
O 2.225 4.733 5.701
Gd 0.000 1.547 2.566
```

Output
Its symmetry is No. 26. The calculated total energy comes out at -4.90 eV/atom.



Entry 11:
Computed, not measured: an optimized crystal structure of MgScFePb at the GGA-PBE level of DFT.

Cell and atoms, written as extended XYZ:
```
4
Lattice="0.000 3.358 3.358 3.358 0.000 3.358 3.358 3.358 0.000" Properties=species:S:1:pos:R:3 pbc="T T T"
Sc 5.037 5.037 5.037
Fe 0.000 0.000 0.000
Pb 1.679 1.679 1.679
Mg 3.358 3.358 3.358
```

Output
Its symmetry is No. 216. The value obtained for the energy above the most stable polymorph in this dataset is 0.0632 eV per atom.



Entry 12:
Computed, not measured: an optimized crystal structure of BeGaFeAs at the GGA-PBE level of DFT.

Cell and atoms, written as extended XYZ:
```
4
Lattice="0.156 0.875 4.065 -3.028 -1.321 2.530 0.761 -3.027 2.752" Properties=species:S:1:pos:R:3 pbc="T T T"
Fe -0.528 -0.868 2.337
As -1.056 -1.736 4.673
Be -1.584 -2.604 7.010
Ga 0.000 0.000 0.000
```

Output
Its symmetry is No. 216. The value obtained for the energy above the most stable polymorph in this dataset is 0.0000 eV per atom.



Entry 13:
Computed, not measured: an optimized crystal structure of InCu2Pb at the GGA-PBE level of DFT.

Cell and atoms, written as extended XYZ:
```
16
Lattice="-4.987 3.281 3.217 -0.192 -4.893 4.691 4.591 3.359 3.691" Properties=species:S:1:pos:R:3 pbc="T T T"
Cu 2.341 2.214 4.662
Cu -0.239 -2.237 5.202
In -0.096 -2.446 2.345
Cu -0.349 3.984 6.398
Cu -0.136 0.402 2.671
In -2.493 1.640 1.609
In 0.000 0.000 0.000
In 2.295 1.679 1.846
Cu -2.826 2.172 4.407
Pb 2.199 -0.767 4.191
Cu -0.453 1.344 8.928
Pb -2.590 -0.806 3.954
Cu 2.237 -0.425 7.193
Cu -2.929 -0.468 6.937
Pb -0.294 0.873 5.800
Pb -0.198 3.320 3.454
```

Output
Its symmetry is No. 221. The calculated total energy comes out at -3.24 eV/atom.



Entry 14:
Computed, not measured: an optimized crystal structure of TmOsNO at the GGA-PBE level of DFT.

Cell and atoms, written as extended XYZ:
```
8
Lattice="3.799 0.000 0.000 0.000 3.799 0.000 0.000 0.000 7.371" Properties=species:S:1:pos:R:3 pbc="T T T"
Os 0.000 0.000 3.686
O 0.000 0.000 0.000
N 0.000 1.899 2.734
Tm 0.000 1.899 6.297
Os 1.899 1.899 3.686
Tm 1.899 0.000 1.074
N 1.899 0.000 4.637
O 1.899 1.899 0.000
```

Output
Its symmetry is No. 129. The value obtained for the energy above the most stable polymorph in this dataset is 0.1684 eV per atom.



Entry 15:
Computed, not measured: an optimized crystal structure of K4IrO5 at the GGA-PBE level of DFT.

Cell and atoms, written as extended XYZ:
```
10
Lattice="4.010 -4.418 1.870 -5.490 1.714 2.453 -1.905 -2.435 -5.435" Properties=species:S:1:pos:R:3 pbc="T T T"
K -0.649 -2.924 -1.987
K -2.765 -2.266 0.960
O -0.602 -1.100 1.760
K -4.016 -1.829 -2.455
K 0.602 -3.362 1.428
O 1.076 -5.345 -2.956
O -1.851 -4.477 -0.155
O -4.469 0.192 1.868
Ir -0.079 -0.144 0.230
O -1.542 -0.676 -0.932
```

Output
Its symmetry is No. 79. The calculated total energy comes out at -4.98 eV/atom.



Entry 16:
Computed, not measured: an optimized crystal structure of NdAl2Ga at the GGA-PBE level of DFT.

Cell and atoms, written as extended XYZ:
```
8
Lattice="-4.728 3.974 -2.124 -1.370 -6.177 1.621 -0.824 1.304 4.275" Properties=species:S:1:pos:R:3 pbc="T T T"
Al -2.140 1.209 2.842
Ga -4.865 3.497 1.619
Al -5.655 -0.061 2.552
Al -4.782 -2.108 0.929
Al -1.267 -0.838 1.219
Nd -3.103 -1.829 3.584
Nd -3.819 0.931 0.187
Ga -2.058 -4.395 2.152
```

Output
Its symmetry is No. 63. The value obtained for the energy above the most stable polymorph in this dataset is 0.0025 eV per atom.



Entry 17:
Computed, not measured: an optimized crystal structure of CdGeBi at the GGA-PBE level of DFT.

Cell and atoms, written as extended XYZ:
```
3
Lattice="-4.395 -2.431 -0.565 -4.328 2.607 -0.156 -2.563 0.387 -4.339" Properties=species:S:1:pos:R:3 pbc="T T T"
Cd -2.821 0.141 -1.265
Ge -8.464 0.422 -3.795
Bi 0.000 0.000 0.000
```

Output
Its symmetry is No. 216. The calculated total energy comes out at -2.91 eV/atom.



Entry 18:
Computed, not measured: an optimized crystal structure of Er2Mg3Ni2 at the GGA-PBE level of DFT.

Cell and atoms, written as extended XYZ:
```
7
Lattice="1.962 -10.438 0.000 1.962 10.438 0.000 0.000 0.000 3.608" Properties=species:S:1:pos:R:3 pbc="T T T"
Mg 1.962 0.000 0.000
Er 1.962 3.691 0.000
Mg 1.962 -8.764 1.804
Er 1.962 -3.691 0.000
Ni 1.962 -5.987 1.804
Mg 1.962 8.764 1.804
Ni 1.962 5.987 1.804
```

Output
Its symmetry is No. 65. The calculated total energy comes out at -3.86 eV/atom.



Entry 19:
Computed, not measured: an optimized crystal structure of CsRe3S5 at the GGA-PBE level of DFT.

Cell and atoms, written as extended XYZ:
```
9
Lattice="-5.282 1.621 1.304 0.844 -4.611 -3.202 0.216 -4.161 6.049" Properties=species:S:1:pos:R:3 pbc="T T T"
Re -2.110 -3.575 2.075
Re 0.530 -4.386 1.423
S -1.038 -5.600 2.757
S -1.141 -3.628 -0.109
Re -2.533 -1.270 3.676
Cs 0.000 0.000 0.000
S 0.108 -2.081 3.024
S -3.183 -1.551 1.394
S -3.080 -3.522 4.259
```

Output
Its symmetry is No. 191. The calculated total energy comes out at -6.71 eV/atom.



Entry 20:
Computed, not measured: an optimized crystal structure of SrLiFeRe at the GGA-PBE level of DFT.

Cell and atoms, written as extended XYZ:
```
4
Lattice="0.000 3.261 3.261 3.261 0.000 3.261 3.261 3.261 0.000" Properties=species:S:1:pos:R:3 pbc="T T T"
Li 4.891 4.891 4.891
Fe 1.630 1.630 1.630
Re 3.261 3.261 3.261
Sr 0.000 0.000 0.000
```

Output
Its symmetry is No. 216. The value obtained for the energy above the most stable polymorph in this dataset is 0.0000 eV per atom.



Entry 21:
Computed, not measured: an optimized crystal structure of PmCd at the GGA-PBE level of DFT.

Cell and atoms, written as extended XYZ:
```
4
Lattice="4.734 0.000 0.000 -2.367 4.100 0.000 0.000 0.000 6.535" Properties=species:S:1:pos:R:3 pbc="T T T"
Cd 0.000 0.000 0.000
Pm 2.367 1.367 1.634
Pm 0.000 2.733 4.901
Cd 0.000 0.000 3.268
```

Output
Its symmetry is No. 194. The value obtained for the formation energy is 0.00 eV per atom.



Entry 22:
Computed, not measured: an optimized crystal structure of Be2AlFe at the GGA-PBE level of DFT.

Cell and atoms, written as extended XYZ:
```
4
Lattice="2.681 -2.352 -1.483 0.524 -3.521 1.500 -1.068 -3.129 -1.998" Properties=species:S:1:pos:R:3 pbc="T T T"
Be 1.602 -6.751 -1.486
Be 1.068 -4.501 -0.990
Al 0.534 -2.250 -0.495
Fe 0.000 0.000 0.000
```

Output
Its symmetry is No. 216. The calculated total energy comes out at -4.90 eV/atom.



Entry 23:
Computed, not measured: an optimized crystal structure of TaCoBiAu at the GGA-PBE level of DFT.

Cell and atoms, written as extended XYZ:
```
4
Lattice="-4.175 -1.589 -1.363 -3.349 3.007 -1.249 -1.281 0.342 -4.479" Properties=species:S:1:pos:R:3 pbc="T T T"
Au -4.402 0.880 -3.545
Bi 0.000 0.000 0.000
Ta -2.201 0.440 -1.772
Co -6.603 1.320 -5.317
```

Output
Its symmetry is No. 216. The value obtained for the energy above the most stable polymorph in this dataset is 0.0000 eV per atom.



Entry 24:
Computed, not measured: an optimized crystal structure of GaReAsO at the GGA-PBE level of DFT.

Cell and atoms, written as extended XYZ:
```
8
Lattice="3.378 0.000 0.000 0.000 3.378 0.000 0.000 0.000 10.572" Properties=species:S:1:pos:R:3 pbc="T T T"
Re 1.689 0.000 1.294
As 1.689 0.000 7.943
Ga 0.000 0.000 5.286
O 0.000 0.000 0.000
Re 0.000 1.689 9.278
Ga 1.689 1.689 5.286
O 1.689 1.689 0.000
As 0.000 1.689 2.629
```

Output
Its symmetry is No. 129. The value obtained for the energy above the most stable polymorph in this dataset is 0.3989 eV per atom.



Entry 25:
Computed, not measured: an optimized crystal structure of Tm2W at the GGA-PBE level of DFT.

Cell and atoms, written as extended XYZ:
```
6
Lattice="0.000 4.095 4.095 4.095 0.000 4.095 4.095 4.095 0.000" Properties=species:S:1:pos:R:3 pbc="T T T"
W 0.000 0.000 0.000
Tm 5.119 5.119 5.119
Tm 5.119 3.072 3.072
Tm 3.072 3.072 5.119
W 2.048 2.048 2.048
Tm 3.072 5.119 3.072
```

Output
Its symmetry is No. 227. The value obtained for the energy above the most stable polymorph in this dataset is 0.0000 eV per atom. The value obtained for the formation energy is 1.22 eV per atom.



Number 1: mass density 9.32 g/cm³. Number 2: mass density 11.28 g/cm³. Number 3: mass density 4.65 g/cm³. Number 4: mass density 12.95 g/cm³. Number 5: mass density 7.60 g/cm³. Number 6: mass density 6.53 g/cm³. Number 7: mass density 6.70 g/cm³. Number 8: mass density 4.27 g/cm³. Number 9: mass density 7.00 g/cm³. Number 10: mass density 8.21 g/cm³. Number 11: mass density 7.29 g/cm³. Number 12: mass density 6.83 g/cm³. Number 13: mass density 9.57 g/cm³. Number 14: mass density 12.15 g/cm³. Number 15: mass density 4.18 g/cm³. Number 16: mass density 5.31 g/cm³. Number 17: mass density 7.17 g/cm³. Number 18: mass density 5.90 g/cm³. Number 19: mass density 6.90 g/cm³. Number 20: mass density 8.06 g/cm³. Number 21: mass density 6.74 g/cm³. Number 22: mass density 4.11 g/cm³. Number 23: mass density 14.89 g/cm³. Number 24: mass density 9.55 g/cm³. Number 25: mass density 12.61 g/cm³.